1.
Y13Tm3O24: optimized geometry, GGA-PBEsol.

Calculated values
N(E_F): 0.0 states/eV/cell
E_form (uncorrected): -3.651 eV per atom

Lattice parameters (Å, degrees): 9.0904 9.0967 9.0979 109.47 109.45 109.42
Space group P1 (No. 1)
Asymmetric unit:
Y (0.0000, 0.0000, 0.0000) (multiplicity 1)
Y (0.9995, 0.4982, 0.5005) (multiplicity 1)
Y (0.0336, 0.7157, 0.2499) (multiplicity 1)
Y (0.2174, 0.1842, 0.4681) (multiplicity 1)
Y (0.2490, 0.9662, 0.7178) (multiplicity 1)
Y (0.2819, 0.7475, 0.9677) (multiplicity 1)
Y (0.4667, 0.2165, 0.1858) (multiplicity 1)
Y (0.4999, 0.4329, 0.9347) (multiplicity 1)
Y (0.5010, 0.9334, 0.4360) (multiplicity 1)
Y (0.5329, 0.7147, 0.7501) (multiplicity 1)
Y (0.7165, 0.6826, 0.4683) (multiplicity 1)
Y (0.7504, 0.9664, 0.2187) (multiplicity 1)
Y (0.7844, 0.2501, 0.9670) (multiplicity 1)
Tm (0.2500, 0.4660, 0.2167) (multiplicity 1)
Tm (0.7507, 0.4658, 0.7178) (multiplicity 1)
Tm (0.9668, 0.2175, 0.6850) (multiplicity 1)
O (0.0136, 0.4543, 0.2493) (multiplicity 1)
O (0.0184, 0.4956, 0.7601) (multiplicity 1)
O (0.0247, 0.2304, 0.9462) (multiplicity 1)
O (0.2079, 0.9553, 0.9468) (multiplicity 1)
O (0.2163, 0.2062, 0.7288) (multiplicity 1)
O (0.2402, 0.6919, 0.1758) (multiplicity 1)
O (0.2596, 0.2411, 0.2600) (multiplicity 1)
O (0.2807, 0.7262, 0.7069) (multiplicity 1)
O (0.2928, 0.9775, 0.4901) (multiplicity 1)
O (0.4755, 0.7017, 0.4861) (multiplicity 1)
O (0.4823, 0.4332, 0.6752) (multiplicity 1)
O (0.4872, 0.4772, 0.1862) (multiplicity 1)
O (0.5114, 0.6955, 0.9896) (multiplicity 1)
O (0.5212, 0.0077, 0.2290) (multiplicity 1)
O (0.5211, 0.1949, 0.9573) (multiplicity 1)
O (0.7098, 0.1982, 0.6855) (multiplicity 1)
O (0.7176, 0.4231, 0.4495) (multiplicity 1)
O (0.7391, 0.9977, 0.9777) (multiplicity 1)
O (0.7642, 0.9379, 0.4618) (multiplicity 1)
O (0.7828, 0.5090, 0.9862) (multiplicity 1)
O (0.7931, 0.7342, 0.7500) (multiplicity 1)
O (0.9785, 0.7365, 0.4771) (multiplicity 1)
O (0.9792, 0.9246, 0.2069) (multiplicity 1)
O (0.9884, 0.2365, 0.4485) (multiplicity 1)

2.
Sc2PtW: optimized geometry, GGA-PBEsol.

Calculated values
calculated formation energy: -0.36 eV/atom
energy above the most stable polymorph in this dataset: 0 meV per atom
N(E_F): 3.2 states/eV/cell

Lattice parameters (Å, degrees): 2.9404 2.9404 8.0637 90.00 90.00 90.00
Space group P4/mmm (No. 123)
Asymmetric unit:
Sc (0.0000, 0.0000, 0.2354) (multiplicity 2)
Pt (0.5000, 0.5000, 0.0000) (multiplicity 1)
W (0.5000, 0.5000, 0.5000) (multiplicity 1)

3.
CuCO3: optimized geometry, GGA-PBEsol.

Calculated values
N(E_F): 2.5 states/eV/cell
E_form (uncorrected): 1.529 eV per atom

Lattice parameters (Å, degrees): 3.6469 3.6469 3.6469 90.00 90.00 90.00
Space group Pm-3m (No. 221)
Asymmetric unit:
Cu (0.0000, 0.0000, 0.0000) (multiplicity 1)
C (0.5000, 0.5000, 0.5000) (multiplicity 1)
O (0.0000, 0.0000, 0.5000) (multiplicity 3)

4.
BaCo2Pb: optimized geometry, GGA-PBEsol.

Calculated values
calculated formation energy: 0.57 eV/atom
energy above the most stable polymorph in this dataset: 0 meV per atom
N(E_F): 10.0 states/eV/cell

Lattice parameters (Å, degrees): 4.8259 5.6979 6.9434 90.00 90.00 90.00
Space group Immm (No. 71)
Asymmetric unit:
Ba (0.0000, 0.0000, 0.0000) (multiplicity 2)
Co (0.0000, 0.5000, 0.1568) (multiplicity 4)
Pb (0.0000, 0.0000, 0.5000) (multiplicity 2)

> The highest N(E_F) belongs to which entry?

BaCo2Pb